# CaCd2ReAu, optimized geometry, DFT PBE
# Energy relative to the elements in eV/atom: 0.943
# ρ in g/cm3: 7.16
# Electronic total energy in eV per cell: -14.84
data_CaCd2ReAu
_chemical_formula_sum 'Ca1 Cd2 Re1 Au1'
_symmetry_space_group_name_H-M 'P 4/m m m'
_symmetry_Int_Tables_number 123
_symmetry_space_group_name_Hall '-P 4 2'
_cell_length_a 5.267
_cell_length_b 5.267
_cell_length_c 5.418
_cell_angle_alpha 90.00
_cell_angle_beta 90.00
_cell_angle_gamma 90.00
loop_
_atom_site_label
_atom_site_type_symbol
_atom_site_fract_x
_atom_site_fract_y
_atom_site_fract_z
Ca1 Ca 0.000 0.000 0.000
Cd1 Cd 0.000 0.500 0.500
Re1 Re 0.000 0.000 0.500
Au1 Au 0.500 0.500 0.000

=====

# Ca2CdRuAu, optimized geometry, DFT PBE
# Energy relative to the elements in eV/atom: 0.343
# ρ in g/cm3: 5.31
# Electronic total energy in eV per cell: -15.76
data_Ca2CdRuAu
_chemical_formula_sum 'Ca2 Cd1 Ru1 Au1'
_symmetry_space_group_name_H-M 'P 4/m m m'
_symmetry_Int_Tables_number 123
_symmetry_space_group_name_Hall '-P 4 2'
_cell_length_a 5.545
_cell_length_b 5.545
_cell_length_c 4.986
_cell_angle_alpha 90.00
_cell_angle_beta 90.00
_cell_angle_gamma 90.00
loop_
_atom_site_label
_atom_site_type_symbol
_atom_site_fract_x
_atom_site_fract_y
_atom_site_fract_z
Ca1 Ca 0.000 0.500 0.000
Cd1 Cd 0.000 0.000 0.500
Ru1 Ru 0.500 0.500 0.500
Au1 Au 0.500 0.500 0.000

=====

# Ca2CdSbAu6, optimized geometry, DFT PBE
# Formation energy from raw total energies in meV/atom: -69.8
# ρ in g/cm3: 8.88
# Electronic total energy in eV per cell: -117.61
data_Ca2CdSbAu6
_chemical_formula_sum 'Ca8 Cd4 Sb4 Au24'
_symmetry_space_group_name_H-M 'F m -3 m'
_symmetry_Int_Tables_number 225
_symmetry_space_group_name_Hall '-F 4 2 3'
_cell_length_a 10.383
_cell_length_b 10.383
_cell_length_c 10.383
_cell_angle_alpha 90.00
_cell_angle_beta 90.00
_cell_angle_gamma 90.00
loop_
_atom_site_label
_atom_site_type_symbol
_atom_site_fract_x
_atom_site_fract_y
_atom_site_fract_z
Ca1 Ca 0.250 0.250 0.250
Cd1 Cd 0.000 0.000 0.000
Sb1 Sb 0.000 0.000 0.500
Au1 Au 0.000 0.000 0.250

=====

# Ca2CdSbAu, optimized geometry, DFT PBE
# Formation energy from raw total energies in meV/atom: -273.0
# ρ in g/cm3: 4.94
# Electronic total energy in eV per cell: -13.68
data_Ca2CdSbAu
_chemical_formula_sum 'Ca2 Cd1 Sb1 Au1'
_symmetry_space_group_name_H-M 'P 4/m m m'
_symmetry_Int_Tables_number 123
_symmetry_space_group_name_Hall '-P 4 2'
_cell_length_a 5.690
_cell_length_b 5.690
_cell_length_c 5.311
_cell_angle_alpha 90.00
_cell_angle_beta 90.00
_cell_angle_gamma 90.00
loop_
_atom_site_label
_atom_site_type_symbol
_atom_site_fract_x
_atom_site_fract_y
_atom_site_fract_z
Ca1 Ca 0.000 0.500 0.000
Cd1 Cd 0.000 0.000 0.500
Sb1 Sb 0.500 0.500 0.500
Au1 Au 0.500 0.500 0.000

=====

# CaCdSbAu, optimized geometry, DFT PBE
# Formation energy from raw total energies in meV/atom: -453.1
# ρ in g/cm3: 8.05
# Electronic total energy in eV per cell: -48.52
data_CaCdSbAu
_chemical_formula_sum 'Ca4 Cd4 Sb4 Au4'
_symmetry_space_group_name_H-M 'F -4 3 m'
_symmetry_Int_Tables_number 216
_symmetry_space_group_name_Hall 'F -4 2 3'
_cell_length_a 7.300
_cell_length_b 7.300
_cell_length_c 7.300
_cell_angle_alpha 90.00
_cell_angle_beta 90.00
_cell_angle_gamma 90.00
loop_
_atom_site_label
_atom_site_type_symbol
_atom_site_fract_x
_atom_site_fract_y
_atom_site_fract_z
Ca1 Ca 0.000 0.000 0.000
Cd1 Cd 0.000 0.000 0.500
Sb1 Sb 0.250 0.250 0.250
Au1 Au 0.250 0.250 0.750

=====

# CaScCdAu, optimized geometry, DFT PBE
# Energy relative to the elements in eV/atom: -0.481
# ρ in g/cm3: 7.14
# Electronic total energy in eV per cell: -57.80
data_CaScCdAu
_chemical_formula_sum 'Ca4 Sc4 Cd4 Au4'
_symmetry_space_group_name_H-M 'F -4 3 m'
_symmetry_Int_Tables_number 216
_symmetry_space_group_name_Hall 'F -4 2 3'
_cell_length_a 7.160
_cell_length_b 7.160
_cell_length_c 7.160
_cell_angle_alpha 90.00
_cell_angle_beta 90.00
_cell_angle_gamma 90.00
loop_
_atom_site_label
_atom_site_type_symbol
_atom_site_fract_x
_atom_site_fract_y
_atom_site_fract_z
Ca1 Ca 0.000 0.000 0.000
Sc1 Sc 0.000 0.000 0.500
Cd1 Cd 0.250 0.250 0.750
Au1 Au 0.250 0.250 0.250

=====

# Ca2CdSiAu6, optimized geometry, DFT PBE
# Formation energy from raw total energies in meV/atom: -418.3
# ρ in g/cm3: 10.01
# Electronic total energy in eV per cell: -68.38
data_Ca2CdSiAu6
_chemical_formula_sum 'Ca4 Cd2 Si2 Au12'
_symmetry_space_group_name_H-M 'P m m n'
_symmetry_Int_Tables_number 59
_cell_length_a 5.656
_cell_length_b 8.936
_cell_length_c 9.204
_cell_angle_alpha 90.00
_cell_angle_beta 90.00
_cell_angle_gamma 90.00
loop_
_symmetry_equiv_pos_as_xyz
'x,y,z'
'-x,-y,-z'
'-x+1/2,-y+1/2,z'
'x+1/2,y+1/2,-z'
'x+1/2,-y,-z'
'-x+1/2,y,z'
'-x,y+1/2,-z'
'x,-y+1/2,z'
loop_
_atom_site_label
_atom_site_type_symbol
_atom_site_fract_x
_atom_site_fract_y
_atom_site_fract_z
Ca1 Ca 0.250 0.002 0.242
Cd1 Cd 0.250 0.250 0.792
Si1 Si 0.250 0.750 0.736
Au1 Au 0.001 0.250 0.047
Au2 Au 0.001 0.250 0.518
Au3 Au 0.250 0.507 0.614

=====

# CaCd2Si2Au7, optimized geometry, DFT PBE
# Formation energy from raw total energies in meV/atom: -224.4
# ρ in g/cm3: 11.01
# Electronic total energy in eV per cell: -80.62
data_CaCd2Si2Au7
_chemical_formula_sum 'Ca2 Cd4 Si4 Au14'
_symmetry_space_group_name_H-M 'C 1 2/m 1'
_symmetry_Int_Tables_number 12
_symmetry_space_group_name_Hall '-C 2y'
_cell_length_a 6.267
_cell_length_b 7.206
_cell_length_c 11.483
_cell_angle_alpha 90.00
_cell_angle_beta 98.64
_cell_angle_gamma 90.00
loop_
_atom_site_label
_atom_site_type_symbol
_atom_site_fract_x
_atom_site_fract_y
_atom_site_fract_z
Ca1 Ca 0.000 0.000 0.000
Cd1 Cd 0.105 0.000 0.380
Si1 Si 0.212 0.500 0.205
Au1 Au 0.000 0.500 0.000
Au2 Au 0.122 0.500 0.410
Au3 Au 0.127 0.300 0.795

=====

# Ca2Cd2SiAu4, optimized geometry, DFT PBE
# Formation energy from raw total energies in meV/atom: -421.3
# ρ in g/cm3: 9.26
# Electronic total energy in eV per cell: -56.32
data_Ca2Cd2SiAu4
_chemical_formula_sum 'Ca4 Cd4 Si2 Au8'
_symmetry_space_group_name_H-M 'I 4/m m m'
_symmetry_Int_Tables_number 139
_symmetry_space_group_name_Hall '-I 4 2'
_cell_length_a 6.878
_cell_length_b 6.878
_cell_length_c 8.494
_cell_angle_alpha 90.00
_cell_angle_beta 90.00
_cell_angle_gamma 90.00
loop_
_atom_site_label
_atom_site_type_symbol
_atom_site_fract_x
_atom_site_fract_y
_atom_site_fract_z
Ca1 Ca 0.000 0.500 0.250
Cd1 Cd 0.000 0.000 0.185
Si1 Si 0.000 0.000 0.500
Au1 Au 0.247 0.247 0.000

=====

# Ca2CdSi3Au12, optimized geometry, DFT PBE
# Formation energy from raw total energies in meV/atom: -80.0
# ρ in g/cm3: 10.87
# Electronic total energy in eV per cell: -185.87
data_Ca2CdSi3Au12
_chemical_formula_sum 'Ca6 Cd3 Si9 Au36'
_symmetry_space_group_name_H-M 'R -3 m'
_symmetry_Int_Tables_number 166
_symmetry_space_group_name_Hall '-R 3 2"'
_cell_length_a 9.1523
_cell_length_b 9.1523
_cell_length_c 16.6738
_cell_angle_alpha 90.00
_cell_angle_beta 90.00
_cell_angle_gamma 120.00
loop_
_atom_site_label
_atom_site_type_symbol
_atom_site_fract_x
_atom_site_fract_y
_atom_site_fract_z
Ca1 Ca 0.0000 0.0000 0.1024
Cd1 Cd 0.0000 0.0000 0.5000
Si1 Si 0.0000 0.5000 0.0000
Au1 Au 0.0163 0.5082 0.8551
Au2 Au 0.0267 0.5133 0.3250

=====

# CaSmCdAu, optimized geometry, DFT PBE
# Relative energy among the computed polymorphs in eV/atom: 0.000
# Energy relative to the elements in eV/atom: -0.569
# ρ in g/cm3: 7.89
# Electronic total energy in eV per cell: -13.19
data_CaSmCdAu
_chemical_formula_sum 'Ca1 Sm1 Cd1 Au1'
_symmetry_space_group_name_H-M 'P 4 m m'
_symmetry_Int_Tables_number 99
_symmetry_space_group_name_Hall 'P 4 -2'
_cell_length_a 3.722
_cell_length_b 3.722
_cell_length_c 7.589
_cell_angle_alpha 90.00
_cell_angle_beta 90.00
_cell_angle_gamma 90.00
loop_
_atom_site_label
_atom_site_type_symbol
_atom_site_fract_x
_atom_site_fract_y
_atom_site_fract_z
Ca1 Ca 0.000 0.000 0.000
Sm1 Sm 0.000 0.000 0.535
Cd1 Cd 0.500 0.500 0.269
Au1 Au 0.500 0.500 0.752

=====

# CaSmCd2Au4, optimized geometry, DFT PBE
# Energy relative to the elements in eV/atom: -0.610
# ρ in g/cm3: 11.39
# Electronic total energy in eV per cell: -79.63
data_CaSmCd2Au4
_chemical_formula_sum 'Ca3 Sm3 Cd6 Au12'
_symmetry_space_group_name_H-M 'R -3 m'
_symmetry_Int_Tables_number 166
_symmetry_space_group_name_Hall '-R 3 2"'
_cell_length_a 4.9883
_cell_length_b 4.9883
_cell_length_c 24.4260
_cell_angle_alpha 90.00
_cell_angle_beta 90.00
_cell_angle_gamma 120.00
loop_
_atom_site_label
_atom_site_type_symbol
_atom_site_fract_x
_atom_site_fract_y
_atom_site_fract_z
Ca1 Ca 0.0000 0.0000 0.0000
Sm1 Sm 0.0000 0.0000 0.5000
Cd1 Cd 0.0000 0.0000 0.2512
Au1 Au 0.0000 0.0000 0.1242
Au2 Au 0.0000 0.0000 0.3753